Entry 1:
VASP calculation (GGA-PBE) on an optimized crystal structure of Pm2HoZr.

The formation energy is 117.1 meV per atom. Its size of the total moment is 0.0 μB/f.u. The calculation puts the offset from the most stable computed form at 0.0014 eV/atom.

It has space group P4/mmm (No. 123), with a = 4.9437 Å, b = 4.9437 Å, c = 4.8921 Å, α = 90.00°, β = 90.00° and γ = 90.00°. The asymmetric unit holds Pm at (0.0000, 0.5000, 0.0000), Ho at (0.0000, 0.0000, 0.5000) and Zr at (0.5000, 0.5000, 0.5000).

Entry 2:
VASP calculation (GGA-PBE) on an optimized crystal structure of Tb2PmTi.

The formation energy is 167.7 meV per atom. Its size of the total moment is 0.0 μB/f.u. The calculation puts the offset from the most stable computed form at 0.0000 eV/atom.

It has space group P4/mmm (No. 123), with a = 3.4152 Å, b = 3.4152 Å, c = 9.7539 Å, α = 90.00°, β = 90.00° and γ = 90.00°. The asymmetric unit holds Tb at (0.0000, 0.0000, 0.2145), Pm at (0.5000, 0.5000, 0.5000) and Ti at (0.5000, 0.5000, 0.0000).

Entry 3:
VASP calculation (GGA-PBE) on an optimized crystal structure of Cu3HgP.

The formation energy is 1218.2 meV per atom. Its size of the total moment is 0.0 μB/f.u. The calculation puts the offset from the most stable computed form at 1.0719 eV/atom.

It has space group Pm-3m (No. 221), with a = 4.7786 Å, b = 4.7786 Å, c = 4.7786 Å, α = 90.00°, β = 90.00° and γ = 90.00°. The asymmetric unit holds Cu at (0.0000, 0.0000, 0.5000), Hg at (0.0000, 0.0000, 0.0000) and P at (0.5000, 0.5000, 0.5000).